Entry 1:
Below is an optimized crystal structure of LaPm2Th, with properties calculated at the PBE-GGA level.

Lattice parameters (Å, degrees): 5.803 5.803 5.803 60.00 60.00 60.00
Positions (direct):
La1 0.000 0.000 0.000
Th1 0.500 0.500 0.500
Pm1 0.250 0.250 0.250
Pm2 0.750 0.750 0.750

Properties
DFT total energy = -21.18 eV per cell
crystal system = cubic
polymorph energy (0 for the lowest one) = 143 meV per atom
formation energy = 0.17 eV/atom

=====

Entry 2:
Below is an optimized crystal structure of La12Pm5Th, with properties calculated at the PBE-GGA level.

Lattice parameters (Å, degrees): 11.105 11.104 6.406 73.21 90.04 60.00
Positions (direct):
La1 0.839 0.000 0.500
La2 0.161 0.000 0.500
La3 0.672 0.000 0.000
La4 0.328 0.000 0.000
La5 0.326 0.673 0.997
La6 0.999 0.673 0.997
La7 0.001 0.327 0.003
La8 0.674 0.327 0.003
La9 0.499 0.334 0.500
La10 0.832 0.666 0.500
La11 0.168 0.334 0.500
La12 0.501 0.666 0.500
Pm1 0.500 0.000 0.500
Pm2 0.163 0.673 0.487
Pm3 0.837 0.327 0.513
Pm4 0.666 0.667 0.001
Pm5 0.334 0.333 0.999
Th1 0.000 0.000 0.000

Properties
DFT total energy = -89.88 eV per cell
crystal system = monoclinic
formation energy = 0.02 eV/atom